No. 1
This record from Alexandria describes a relaxed Pr2Er2Al crystal. The functional is PBE.

- Formation energy from the elements: 0.478 eV/atom
- DOS at the Fermi energy: 6.328 states/eV/f.u.
- ΔE to the lowest computed polymorph: 629 meV per atom
- Raw total energy: -40.1 eV for the cell shown

```
data_Pr2Er2Al
_cell_length_a 4.314
_cell_length_b 4.314
_cell_length_c 17.580
_cell_angle_alpha 90.00
_cell_angle_beta 90.00
_cell_angle_gamma 90.00
_space_group_name_H-M_alt 'I 4/m m m'
_space_group_IT_number 139
_space_group_name_Hall '-I 4 2'
loop_
_atom_site_label
_atom_site_type_symbol
_atom_site_fract_x
_atom_site_fract_y
_atom_site_fract_z
_atom_site_occupancy
Pr1 Pr 0.000 0.500 0.250 1
Er1 Er 0.000 0.000 0.085 1
Al1 Al 0.000 0.000 0.500 1
```

=====

No. 2
This record from Alexandria describes a relaxed PrEr2Al crystal. The functional is PBE.

- Formation energy from the elements: -0.198 eV/atom
- DOS at the Fermi energy: 3.173 states/eV/f.u.
- ΔE to the lowest computed polymorph: 0 meV per atom
- Raw total energy: -18.4 eV for the cell shown

```
data_PrEr2Al
_cell_length_a 3.530
_cell_length_b 3.530
_cell_length_c 9.062
_cell_angle_alpha 90.00
_cell_angle_beta 90.00
_cell_angle_gamma 90.00
_space_group_name_H-M_alt 'P 4/m m m'
_space_group_IT_number 123
_space_group_name_Hall '-P 4 2'
loop_
_atom_site_label
_atom_site_type_symbol
_atom_site_fract_x
_atom_site_fract_y
_atom_site_fract_z
_atom_site_occupancy
Pr1 Pr 0.000 0.000 0.000 1
Er1 Er 0.500 0.500 0.293 1
Al1 Al 0.000 0.000 0.500 1
```

=====

Repeat the second record exactly.
This record from Alexandria describes a relaxed PrEr2Al crystal. The functional is PBE.

- Formation energy from the elements: -0.198 eV/atom
- DOS at the Fermi energy: 3.173 states/eV/f.u.
- ΔE to the lowest computed polymorph: 0 meV per atom
- Raw total energy: -18.4 eV for the cell shown

```
data_PrEr2Al
_cell_length_a 3.530
_cell_length_b 3.530
_cell_length_c 9.062
_cell_angle_alpha 90.00
_cell_angle_beta 90.00
_cell_angle_gamma 90.00
_space_group_name_H-M_alt 'P 4/m m m'
_space_group_IT_number 123
_space_group_name_Hall '-P 4 2'
loop_
_atom_site_label
_atom_site_type_symbol
_atom_site_fract_x
_atom_site_fract_y
_atom_site_fract_z
_atom_site_occupancy
Pr1 Pr 0.000 0.000 0.000 1
Er1 Er 0.500 0.500 0.293 1
Al1 Al 0.000 0.000 0.500 1
```